No. 1
A plane-wave DFT calculation with PBE was carried out for a relaxed structure of La3SmSc2.

abc: 14.308 10.264 5.389
angles: 90.00 90.00 90.00
Space group Cmcm (No. 63)
One atom of each set of equivalent atoms:
La 0.000 0.061 0.250 [4 per cell]
La 0.224 0.134 0.250 [8 per cell]
Sm 0.000 0.277 0.750 [4 per cell]
Sc 0.107 0.418 0.250 [8 per cell]

As for the crystal system: orthorhombic.

=====

No. 2
A plane-wave DFT calculation with PBE was carried out for a relaxed structure of Tb2ThIn6.

abc: 8.7677 8.7677 3.5375
angles: 90.00 90.00 120.00
Space group P6/mmm (No. 191)
One atom of each set of equivalent atoms:
Tb 0.3333 0.6667 0.0000 [2 per cell]
Th 0.0000 0.0000 0.0000 [1 per cell]
In 0.0000 0.3361 0.5000 [6 per cell]

As for the crystal system: hexagonal.

=====

| no. | final energy (eV per atom) | volume (Å³/atom) | energy of formation (eV/atom) |
| --- | --- | --- | --- |
| 1 | -5.120 | 33.0 | 0.2412 |
| 2 | -4.049 | 26.2 | -0.3695 |